! AuSF2 PBE relaxed; values from VASP
! **SG**: R-3m, No. 166
! **Energy above the lowest structure with this stoichiometry**: 0.0 kJ/mol of atoms
! **Fermi-level density of states**: 0.333 states/eV/atom
! **Raw formation energy**: -644 meV/atom
&SYSTEM
  ibrav = 0, nat = 4, ntyp = 3
/
ATOMIC_SPECIES
S 32.06 S.upf
Au 196.97 Au.upf
F 19.00 F.upf
ATOMIC_POSITIONS crystal
S 0.0000 0.0000 0.0000
Au 0.5000 0.5000 0.5000
F 0.9412 0.9412 0.9412
F 0.0588 0.0588 0.0588
CELL_PARAMETERS angstrom
1.2713 -9.6508 1.1989
3.9302 -8.8626 1.4828
2.2195 -8.8146 3.6835